No. 1
A crystal of BaGd2ZnO5 relaxed with PBEsol. Source: Alexandria, functional meta-GGA SCAN. Values from VASP.

```
&SYSTEM
  ibrav = 0, nat = 36, ntyp = 4
/
ATOMIC_SPECIES
Ba 137.33 Ba.upf
Gd 157.25 Gd.upf
Zn 65.41 Zn.upf
O 16.00 O.upf
ATOMIC_POSITIONS angstrom
Ba 1.243 1.434 0.544
Ba 4.960 4.303 4.100
Ba 7.446 1.434 3.011
Ba 11.163 4.303 6.566
Gd 0.927 4.303 2.839
Gd 2.573 1.434 4.403
Gd 3.630 4.303 0.847
Gd 5.276 1.434 6.395
Gd 7.130 4.303 0.716
Gd 8.776 1.434 6.264
Gd 9.832 4.303 2.708
Gd 11.479 1.434 4.272
Zn 1.867 4.303 5.750
Zn 4.336 1.434 2.195
Zn 8.070 4.303 4.916
Zn 10.539 1.434 1.361
O 0.806 2.892 4.749
O 0.806 5.714 4.749
O 1.237 4.303 0.512
O 2.786 0.015 2.533
O 2.786 2.854 2.533
O 3.417 2.884 6.088
O 3.417 5.722 6.088
O 4.966 1.434 4.067
O 5.397 0.023 1.194
O 5.397 2.846 1.194
O 7.009 2.892 5.917
O 7.009 5.714 5.917
O 7.440 4.303 3.044
O 8.989 0.015 1.023
O 8.989 2.854 1.023
O 9.620 2.884 4.578
O 9.620 5.722 4.578
O 11.169 1.434 6.599
O 11.600 0.023 2.361
O 11.600 2.846 2.361
CELL_PARAMETERS angstrom
12.406 0.000 0.000
0.000 5.737 0.000
0.000 0.000 7.111
```

Calculated values
Crystal system: orthorhombic
Formation energy without anion corrections (eV per atom): -3.08

---

No. 2
A crystal of CaAgAsO5 relaxed with PBEsol. Source: Alexandria, functional meta-GGA SCAN. Values from VASP.

```
&SYSTEM
  ibrav = 0, nat = 32, ntyp = 4
/
ATOMIC_SPECIES
Ca 40.08 Ca.upf
Ag 107.87 Ag.upf
As 74.92 As.upf
O 16.00 O.upf
ATOMIC_POSITIONS angstrom
Ca 5.945 1.373 1.579
Ca 0.001 5.132 3.226
Ca 2.972 2.387 8.031
Ca 2.975 6.147 6.385
Ag 1.461 5.646 9.609
Ag 1.513 1.873 4.804
Ag 4.434 5.633 0.001
Ag 4.486 1.886 4.806
As 0.205 4.529 6.448
As 2.769 2.991 1.643
As 3.178 6.750 3.162
As 5.742 0.769 7.968
O 0.017 3.292 5.149
O 0.030 0.960 3.908
O 0.742 5.801 5.456
O 1.314 0.908 7.237
O 1.481 3.337 2.695
O 1.492 4.183 7.500
O 1.659 6.611 2.432
O 2.231 1.718 0.651
O 2.944 6.559 8.713
O 2.956 4.227 0.344
O 2.990 0.468 4.462
O 3.003 2.799 5.703
O 3.715 5.478 4.154
O 4.288 2.851 2.373
O 4.455 0.423 6.916
O 4.465 7.096 2.111
O 4.632 4.668 7.179
O 5.205 2.041 8.960
O 5.917 4.720 0.898
O 5.930 7.051 9.267
CELL_PARAMETERS angstrom
5.947 0.000 0.000
0.000 7.519 0.000
0.000 0.000 9.610
```

Calculated values
Crystal system: orthorhombic
Formation energy without anion corrections (eV per atom): -1.51

---

No. 3
A crystal of Nb2BF relaxed with PBEsol. Source: Alexandria, functional meta-GGA SCAN. Values from VASP.

```
&SYSTEM
  ibrav = 0, nat = 16, ntyp = 3
/
ATOMIC_SPECIES
Nb 92.91 Nb.upf
B 10.81 B.upf
F 19.00 F.upf
ATOMIC_POSITIONS angstrom
Nb 1.103 1.233 1.254
Nb 1.233 3.569 3.763
Nb 1.233 3.829 8.781
Nb 1.363 1.233 6.272
Nb 3.569 3.699 6.272
Nb 3.699 1.103 8.781
Nb 3.699 1.363 3.763
Nb 3.829 3.699 1.254
B 0.000 0.000 0.000
B 0.000 2.466 2.509
B 2.466 0.000 7.527
B 2.466 2.466 5.018
F 0.000 0.000 5.018
F 0.000 2.466 7.527
F 2.466 0.000 2.509
F 2.466 2.466 0.000
CELL_PARAMETERS angstrom
4.932 0.000 0.000
0.000 4.932 0.000
0.000 0.000 10.036
```

Calculated values
Crystal system: tetragonal
Formation energy without anion corrections (eV per atom): -0.19

---

No. 4
A crystal of K2BaY relaxed with PBEsol. Source: Alexandria, functional meta-GGA SCAN. Values from VASP.

```
&SYSTEM
  ibrav = 0, nat = 8, ntyp = 3
/
ATOMIC_SPECIES
K 39.10 K.upf
Ba 137.33 Ba.upf
Y 88.91 Y.upf
ATOMIC_POSITIONS angstrom
K 0.000 0.000 0.000
K 0.000 3.184 3.995
K 2.238 0.000 3.995
K 2.238 3.184 0.000
Ba 0.000 0.000 7.785
Ba 2.238 3.184 7.785
Y 0.000 3.184 10.731
Y 2.238 0.000 10.731
CELL_PARAMETERS angstrom
4.477 0.000 0.000
0.000 6.368 0.000
0.000 0.000 14.052
```

Calculated values
Relative energy among the computed polymorphs (meV/atom): 0.0
Crystal system: orthorhombic
Energy of formation from the pure elements (meV/atom): 278.6

---

No. 5
A crystal of K2LaBr relaxed with PBEsol. Source: Alexandria, functional meta-GGA SCAN. Values from VASP.

```
&SYSTEM
  ibrav = 0, nat = 8, ntyp = 3
/
ATOMIC_SPECIES
K 39.10 K.upf
La 138.91 La.upf
Br 79.90 Br.upf
ATOMIC_POSITIONS angstrom
K 0.000 0.000 0.000
K -0.012 0.000 8.096
K 3.449 1.990 0.000
K 3.437 1.990 8.096
La 1.131 1.990 3.641
La 4.579 0.000 3.641
Br 2.281 0.000 5.775
Br 5.730 1.990 5.775
CELL_PARAMETERS angstrom
6.898 0.000 0.000
0.000 3.979 0.000
-2.204 0.000 12.154
```

Calculated values
Relative energy among the computed polymorphs (meV/atom): 0.0
Crystal system: monoclinic
Formation energy without anion corrections (eV per atom): -0.68

---

No. 6
A crystal of BeIn3Os relaxed with PBEsol. Source: Alexandria, functional meta-GGA SCAN. Values from VASP.

```
&SYSTEM
  ibrav = 0, nat = 5, ntyp = 3
/
ATOMIC_SPECIES
Be 9.01 Be.upf
In 114.82 In.upf
Os 190.23 Os.upf
ATOMIC_POSITIONS angstrom
Be 0.000 0.000 0.000
In 0.000 0.000 2.289
In 0.000 2.289 0.000
In 2.289 0.000 0.000
Os 2.289 2.289 2.289
CELL_PARAMETERS angstrom
4.577 0.000 0.000
0.000 4.577 0.000
0.000 0.000 4.577
```

Calculated values
Crystal system: cubic
Energy of formation from the pure elements (meV/atom): 1170.0

---

No. 7
A crystal of KZnGe2P relaxed with PBEsol. Source: Alexandria, functional meta-GGA SCAN. Values from VASP.

```
&SYSTEM
  ibrav = 0, nat = 5, ntyp = 4
/
ATOMIC_SPECIES
K 39.10 K.upf
Zn 65.41 Zn.upf
Ge 72.64 Ge.upf
P 30.97 P.upf
ATOMIC_POSITIONS angstrom
K 0.000 0.000 0.000
Zn 2.716 2.716 2.602
Ge 0.000 2.716 0.000
Ge 2.716 0.000 0.000
P 0.000 0.000 2.602
CELL_PARAMETERS angstrom
5.431 0.000 0.000
0.000 5.431 0.000
0.000 0.000 5.205
```

Calculated values
Crystal system: tetragonal
Energy of formation from the pure elements (meV/atom): 1882.7

---

No. 8
A crystal of InNi relaxed with PBEsol. Source: Alexandria, functional meta-GGA SCAN. Values from VASP.

```
&SYSTEM
  ibrav = 0, nat = 2, ntyp = 2
/
ATOMIC_SPECIES
In 114.82 In.upf
Ni 58.69 Ni.upf
ATOMIC_POSITIONS angstrom
In 0.000 0.000 0.000
Ni 1.549 1.549 1.549
CELL_PARAMETERS angstrom
3.099 0.000 0.000
0.000 3.099 0.000
0.000 0.000 3.099
```

Calculated values
Crystal system: cubic
Energy of formation from the pure elements (meV/atom): -50.2

---

No. 9
A crystal of AsRh2Se relaxed with PBEsol. Source: Alexandria, functional meta-GGA SCAN. Values from VASP.

```
&SYSTEM
  ibrav = 0, nat = 8, ntyp = 3
/
ATOMIC_SPECIES
As 74.92 As.upf
Rh 102.91 Rh.upf
Se 78.96 Se.upf
ATOMIC_POSITIONS angstrom
As 0.000 0.000 0.000
As 1.440 2.545 4.209
Rh 0.000 2.545 2.153
Rh 0.000 2.545 6.265
Rh 1.440 0.000 2.056
Rh 1.440 0.000 6.362
Se 0.000 0.000 4.209
Se 1.440 2.545 0.000
CELL_PARAMETERS angstrom
2.879 0.000 0.000
0.000 5.090 0.000
0.000 0.000 8.418
```

Calculated values
Crystal system: orthorhombic
Formation energy without anion corrections (eV per atom): 0.18

---

No. 10
A crystal of TaBeAgMo2 relaxed with PBEsol. Source: Alexandria, functional meta-GGA SCAN. Values from VASP.

```
&SYSTEM
  ibrav = 0, nat = 5, ntyp = 4
/
ATOMIC_SPECIES
Ta 180.95 Ta.upf
Be 9.01 Be.upf
Ag 107.87 Ag.upf
Mo 95.94 Mo.upf
ATOMIC_POSITIONS angstrom
Ta 0.000 0.000 0.000
Be 2.401 2.401 0.000
Ag 2.401 2.401 1.921
Mo 0.000 2.401 1.921
Mo 2.401 0.000 1.921
CELL_PARAMETERS angstrom
4.801 0.000 0.000
0.000 4.801 0.000
0.000 0.000 3.843
```

Calculated values
Crystal system: tetragonal
Energy of formation from the pure elements (meV/atom): 1711.0

---

No. 11
A crystal of Y3RuSe relaxed with PBEsol. Source: Alexandria, functional meta-GGA SCAN. Values from VASP.

```
&SYSTEM
  ibrav = 0, nat = 5, ntyp = 3
/
ATOMIC_SPECIES
Y 88.91 Y.upf
Ru 101.07 Ru.upf
Se 78.96 Se.upf
ATOMIC_POSITIONS angstrom
Y 0.000 0.000 2.578
Y 0.000 2.578 0.000
Y 2.578 0.000 0.000
Ru 2.578 2.578 2.578
Se 0.000 0.000 0.000
CELL_PARAMETERS angstrom
5.156 0.000 0.000
0.000 5.156 0.000
0.000 0.000 5.156
```

Calculated values
Crystal system: cubic
Formation energy without anion corrections (eV per atom): -0.05

---

No. 12
A crystal of Fe2W relaxed with PBEsol. Source: Alexandria, functional meta-GGA SCAN. Values from VASP.

```
&SYSTEM
  ibrav = 0, nat = 3, ntyp = 2
/
ATOMIC_SPECIES
Fe 55.84 Fe.upf
W 183.84 W.upf
ATOMIC_POSITIONS angstrom
Fe 0.000 2.376 0.374
Fe 2.058 1.188 2.179
W 0.000 0.000 1.277
CELL_PARAMETERS angstrom
4.116 0.000 0.000
-2.058 3.564 0.000
0.000 0.000 2.553
```

Calculated values
Crystal system: trigonal
Energy of formation from the pure elements (meV/atom): 61.5

---

no.,raw total energy (eV/atom)
1,-25.5074
2,-13.0618
3,-19.5021
4,-20.7341
5,-20.4849
6,-34.1085
7,-12.2009
8,-24.8301
9,-26.7721
10,-32.7038
11,-27.7333
12,-35.2542